Model i:
The following is a SCAN calculation of a crystal of LiMnMo2 relaxed with PBEsol, from Alexandria.

The structure in CIF format:
```
data_LiMnMo2
_chemical_formula_sum 'Li1 Mn1 Mo2'
_cell_length_a 4.9978
_cell_length_b 4.9978
_cell_length_c 4.9978
_cell_angle_alpha 144.92
_cell_angle_beta 130.04
_cell_angle_gamma 62.50
_space_group_name_H-M_alt 'P 1'
_space_group_IT_number 1
_space_group_name_Hall 'P 1'
loop_
_atom_site_label
_atom_site_type_symbol
_atom_site_fract_x
_atom_site_fract_y
_atom_site_fract_z
Li1 Li 0.0000 0.0000 0.0000
Mn1 Mn 0.5000 0.5000 0.0000
Mo1 Mo 0.2613 0.7613 0.5000
Mo2 Mo 0.7387 0.2387 0.5000
```

***

Model ii:
The following is a SCAN calculation of a crystal of LiMnMo2 relaxed with PBEsol, from Alexandria.

The structure in CIF format:
```
data_LiMnMo2
_chemical_formula_sum 'Li1 Mn1 Mo2'
_cell_length_a 2.6262
_cell_length_b 2.6262
_cell_length_c 8.8352
_cell_angle_alpha 90.00
_cell_angle_beta 90.00
_cell_angle_gamma 108.47
_space_group_name_H-M_alt 'P 1'
_space_group_IT_number 1
_space_group_name_Hall 'P 1'
loop_
_atom_site_label
_atom_site_type_symbol
_atom_site_fract_x
_atom_site_fract_y
_atom_site_fract_z
Li1 Li 0.0000 0.0000 0.0000
Mn1 Mn 0.5000 0.5000 0.7490
Mo1 Mo 0.0000 0.0000 0.5247
Mo2 Mo 0.5000 0.5000 0.2714
```

***

Stability verdict: model ii, ahead by 0.068 eV/atom

***

Model i:
The following is a SCAN calculation of a crystal of Tc2RhBr relaxed with PBEsol, from Alexandria.

The structure in CIF format:
```
data_Tc2RhBr
_chemical_formula_sum 'Tc2 Rh1 Br1'
_cell_length_a 4.6224
_cell_length_b 4.6224
_cell_length_c 4.6224
_cell_angle_alpha 128.58
_cell_angle_beta 128.58
_cell_angle_gamma 75.69
_space_group_name_H-M_alt 'P 1'
_space_group_IT_number 1
_space_group_name_Hall 'P 1'
loop_
_atom_site_label
_atom_site_type_symbol
_atom_site_fract_x
_atom_site_fract_y
_atom_site_fract_z
Tc1 Tc 0.0000 0.0000 0.0000
Tc2 Tc 0.7500 0.2500 0.5000
Rh1 Rh 0.2500 0.7500 0.5000
Br1 Br 0.5000 0.5000 0.0000
```

***

Model ii:
The following is a SCAN calculation of a crystal of Tc2RhBr relaxed with PBEsol, from Alexandria.

The structure in CIF format:
```
data_Tc2RhBr
_chemical_formula_sum 'Tc2 Rh1 Br1'
_cell_length_a 2.7769
_cell_length_b 2.7769
_cell_length_c 9.0980
_cell_angle_alpha 90.00
_cell_angle_beta 90.00
_cell_angle_gamma 118.32
_space_group_name_H-M_alt 'P 1'
_space_group_IT_number 1
_space_group_name_Hall 'P 1'
loop_
_atom_site_label
_atom_site_type_symbol
_atom_site_fract_x
_atom_site_fract_y
_atom_site_fract_z
Tc1 Tc 0.0000 0.0000 0.0000
Tc2 Tc 0.5000 0.5000 0.2293
Rh1 Rh 0.0000 0.0000 0.4690
Br1 Br 0.5000 0.5000 0.7360
```

***

Stability verdict: model ii, ahead by 0.254 eV/atom

***

Model i:
The following is a SCAN calculation of a crystal of Ag5Sb relaxed with PBEsol, from Alexandria.

The structure in CIF format:
```
data_Ag5Sb
_chemical_formula_sum 'Ag5 Sb1'
_cell_length_a 4.7359
_cell_length_b 7.7095
_cell_length_c 7.7095
_cell_angle_alpha 22.66
_cell_angle_beta 90.00
_cell_angle_gamma 90.00
_space_group_name_H-M_alt 'P 1'
_space_group_IT_number 1
_space_group_name_Hall 'P 1'
loop_
_atom_site_label
_atom_site_type_symbol
_atom_site_fract_x
_atom_site_fract_y
_atom_site_fract_z
Ag1 Ag 0.0000 0.0000 0.0000
Ag2 Ag 0.0000 0.3228 0.3228
Ag3 Ag 0.0000 0.6622 0.6622
Ag4 Ag 0.5000 0.1126 0.1126
Ag5 Ag 0.5000 0.7696 0.7696
Sb1 Sb 0.5000 0.4398 0.4398
```

***

Model ii:
The following is a SCAN calculation of a crystal of Ag5Sb relaxed with PBEsol, from Alexandria.

The structure in CIF format:
```
data_Ag5Sb
_chemical_formula_sum 'Ag5 Sb1'
_cell_length_a 5.5501
_cell_length_b 5.5501
_cell_length_c 6.8696
_cell_angle_alpha 105.78
_cell_angle_beta 105.78
_cell_angle_gamma 32.09
_space_group_name_H-M_alt 'P 1'
_space_group_IT_number 1
_space_group_name_Hall 'P 1'
loop_
_atom_site_label
_atom_site_type_symbol
_atom_site_fract_x
_atom_site_fract_y
_atom_site_fract_z
Ag1 Ag 0.0000 0.0000 0.0000
Ag2 Ag 0.0503 0.0503 0.6155
Ag3 Ag 0.3315 0.3315 0.6762
Ag4 Ag 0.6592 0.6592 0.3478
Ag5 Ag 0.7105 0.7105 0.9295
Sb1 Sb 0.3767 0.3767 0.2697
```

***

Stability verdict: model ii, ahead by 0.016 eV/atom